First-principles (PBE) data for a relaxed structure of TiSi3W, as listed in Alexandria via LeMat-Bulk.

Output
space-group type = Pm-3m (221)
raw formation energy = 1403 meV per atom
N(E_F) = 3.637 states/eV/f.u.
energy = -6.02 eV per atom
offset from the most stable computed form = 598 meV per atom

POSCAR file:
```
TiSi3W
1.0
4.4973 0.0000 0.0000
0.0000 4.4973 0.0000
0.0000 0.0000 4.4973
Ti Si W
1 3 1
Cartesian
0.0000 0.0000 0.0000
0.0000 0.0000 2.2487
0.0000 2.2487 0.0000
2.2487 0.0000 0.0000
2.2487 2.2487 2.2487
```